Entry from Alexandria: BePCl2 after structural relaxation (PBE-GGA).

Computed properties:
E_tot = -3.29 eV per atom

Unit cell a=2.961 b=6.534 c=6.532 alpha=55.20 beta=90.00 gamma=90.00
Atoms (fractional coordinates):
P1 0.500 0.250 0.250
Be1 0.500 0.750 0.750
Cl1 0.000 0.878 0.877
Cl2 0.000 0.622 0.623

Entry from Alexandria: BePCl2 after structural relaxation (PBE-GGA).

Computed properties:
E_tot = -2.37 eV per atom

Unit cell a=3.549 b=4.377 c=4.377 alpha=90.00 beta=90.00 gamma=90.00
Atoms (fractional coordinates):
P1 0.500 0.500 0.000
Be1 0.500 0.000 0.500
Cl1 0.000 0.000 0.000
Cl2 0.000 0.500 0.500

Entry from Alexandria: BePCl after structural relaxation (PBE-GGA).

Computed properties:
E_tot = -3.69 eV per atom

Unit cell a=8.076 b=7.631 c=3.316 alpha=85.46 beta=70.37 gamma=24.16
Atoms (fractional coordinates):
P1 0.612 0.612 0.388
Be1 0.991 0.991 0.009
Cl1 0.396 0.396 0.604

Entry from Alexandria: BePCl2 after structural relaxation (PBE-GGA).

Computed properties:
E_tot = -3.65 eV per atom

Unit cell a=3.837 b=4.154 c=7.064 alpha=64.27 beta=90.00 gamma=90.00
Atoms (fractional coordinates):
P1 0.000 0.538 0.685
Be1 0.500 0.727 0.559
Cl1 0.000 0.012 0.889
Cl2 0.500 0.223 0.368

Entry from Alexandria: BePCl2 after structural relaxation (PBE-GGA).

Computed properties:
E_tot = -2.33 eV per atom

Unit cell a=4.536 b=4.536 c=4.536 alpha=60.00 beta=60.00 gamma=60.00
Atoms (fractional coordinates):
P1 0.500 0.500 0.500
Be1 0.000 0.000 0.000
Cl1 0.250 0.250 0.250
Cl2 0.750 0.750 0.750

Entry from Alexandria: BePCl2 after structural relaxation (PBE-GGA).

Computed properties:
E_tot = -3.23 eV per atom

Unit cell a=6.620 b=6.620 c=6.525 alpha=59.52 beta=59.52 gamma=90.00
Atoms (fractional coordinates):
P1 0.000 0.000 0.000
P2 0.750 0.250 0.500
Be1 0.500 0.500 0.000
Be2 0.250 0.750 0.500
Cl1 0.452 0.125 0.250
Cl2 0.298 0.625 0.250
Cl3 0.375 0.548 0.750
Cl4 0.875 0.702 0.750

Entry from Alexandria: BePCl after structural relaxation (PBE-GGA).

Computed properties:
E_tot = -3.57 eV per atom

Unit cell a=5.555 b=5.555 c=5.555 alpha=143.99 beta=148.76 gamma=48.40
Atoms (fractional coordinates):
P1 0.563 0.563 0.000
Be1 0.118 0.118 0.000
Cl1 0.320 0.320 0.000

Entry from Alexandria: Be4PCl after structural relaxation (PBE-GGA).

Computed properties:
E_tot = -3.09 eV per atom

Unit cell a=4.654 b=4.654 c=4.654 alpha=60.00 beta=60.00 gamma=60.00
Atoms (fractional coordinates):
Be1 0.629 0.629 0.113
Be2 0.629 0.113 0.629
Be3 0.629 0.629 0.629
Be4 0.113 0.629 0.629
P1 0.000 0.000 0.000
Cl1 0.250 0.250 0.250

Entry from Alexandria: BeP2PbCl after structural relaxation (PBE-GGA).

Computed properties:
E_tot = -3.60 eV per atom

Unit cell a=4.121 b=4.121 c=9.575 alpha=90.00 beta=90.00 gamma=90.00
Atoms (fractional coordinates):
Pb1 0.500 0.500 0.500
P1 0.000 0.500 0.000
P2 0.500 0.000 0.000
Be1 0.000 0.000 0.000
Cl1 0.000 0.000 0.500

Entry from Alexandria: BeP2PbCl after structural relaxation (PBE-GGA).

Computed properties:
E_tot = -2.66 eV per atom

Unit cell a=5.644 b=5.644 c=5.474 alpha=90.00 beta=90.00 gamma=90.00
Atoms (fractional coordinates):
Pb1 0.000 0.000 0.000
P1 0.000 0.500 0.000
P2 0.500 0.000 0.000
Be1 0.500 0.500 0.500
Cl1 0.000 0.000 0.500

Entry from Alexandria: BeP2PdCl after structural relaxation (PBE-GGA).

Computed properties:
E_tot = -3.78 eV per atom

Unit cell a=4.277 b=4.277 c=4.474 alpha=90.00 beta=90.00 gamma=90.00
Atoms (fractional coordinates):
P1 0.000 0.500 0.000
P2 0.500 0.000 0.000
Be1 0.000 0.000 0.000
Pd1 0.500 0.500 0.500
Cl1 0.000 0.000 0.500

Entry from Alexandria: BePPdCl2 after structural relaxation (PBE-GGA).

Computed properties:
E_tot = -2.97 eV per atom

Unit cell a=4.856 b=4.856 c=4.741 alpha=90.00 beta=90.00 gamma=90.00
Atoms (fractional coordinates):
P1 0.000 0.000 0.500
Be1 0.500 0.500 0.500
Pd1 0.000 0.000 0.000
Cl1 0.000 0.500 0.000
Cl2 0.500 0.000 0.000

Entry from Alexandria: BeP2PdCl after structural relaxation (PBE-GGA).

Computed properties:
E_tot = -3.35 eV per atom

Unit cell a=4.635 b=4.635 c=4.991 alpha=90.00 beta=90.00 gamma=90.00
Atoms (fractional coordinates):
P1 0.000 0.500 0.000
P2 0.500 0.000 0.000
Be1 0.500 0.500 0.500
Pd1 0.000 0.000 0.000
Cl1 0.000 0.000 0.500

Entry from Alexandria: BePPdCl2 after structural relaxation (PBE-GGA).

Computed properties:
E_tot = -2.69 eV per atom

Unit cell a=3.726 b=4.557 c=6.684 alpha=90.00 beta=90.00 gamma=90.00
Atoms (fractional coordinates):
P1 0.000 0.000 0.500
Cl1 0.000 0.000 0.000
Cl2 0.500 0.500 0.500
Pd1 0.000 0.500 0.000
Be1 0.500 0.000 0.000

Entry from Alexandria: BeP2PtCl after structural relaxation (PBE-GGA).

Computed properties:
E_tot = -3.54 eV per atom

Unit cell a=4.634 b=4.634 c=5.050 alpha=90.00 beta=90.00 gamma=90.00
Atoms (fractional coordinates):
P1 0.000 0.500 0.000
P2 0.500 0.000 0.000
Be1 0.500 0.500 0.500
Pt1 0.000 0.000 0.000
Cl1 0.000 0.000 0.500